Computed, not measured: a relaxed structure of LaSi2Tc at the PBE level of DFT.

Geometry as POSCAR:
```
LaSi2Tc
1.0
4.380 0.004 0.001
2.982 3.208 0.001
2.872 1.253 5.769
Si Tc La
2 1 1
Cartesian
2.758 1.203 2.283
7.138 3.114 0.642
4.979 2.172 1.537
7.840 3.420 4.198
```

Raw total energy = -6.979 eV/atom
Raw formation energy = -0.444 eV per atom